# 1
## TeOsNO (PBE)

Data for TeOsNO after structural relaxation.

a b c (Å): 6.3185 7.3228 5.9383
angles (deg): 90.00 90.00 90.00
With the nearest neighbours (Å) after each atom.
Space group Pca2_1 (No. 29)
Symmetry-distinct sites (fractional):
Te 0.2303 0.1634 0.0000 [4 per cell]  1 O 1.98
Os 0.1182 0.5153 0.0090 [4 per cell]  3 N 1.92-1.93, 1 O 2.10
N 0.1290 0.5412 0.6873 [4 per cell]  3 Os 1.92-1.93
O 0.0349 0.7902 0.0550 [4 per cell]  1 Te 1.98, 1 Os 2.10

Results
- final energy (eV per atom) = -6.856
- offset from the most stable computed form (eV/atom) = 0.000

# 2
## TeOsNO (PBE)

Data for TeOsNO after structural relaxation.

a b c (Å): 3.9274 3.9274 7.0705
angles (deg): 90.00 90.00 90.00
With the nearest neighbours (Å) after each atom.
Space group P4/nmm (No. 129, origin choice 2)
Symmetry-distinct sites (fractional):
Te 0.2500 0.2500 0.1788 [2 per cell]  4 O 2.34
Os 0.2500 0.7500 0.5000 [2 per cell]  4 N 2.11
N 0.2500 0.2500 0.6076 [2 per cell]  4 Os 2.11
O 0.2500 0.7500 0.0000 [2 per cell]  4 Te 2.34

Results
- final energy (eV per atom) = -6.417
- offset from the most stable computed form (eV/atom) = 0.439

# 3
## TeOsNO (PBE)

Data for TeOsNO after structural relaxation.

a b c (Å): 6.1604 7.1391 5.0172
angles (deg): 90.00 90.00 90.00
With the nearest neighbours (Å) after each atom.
Space group Pca2_1 (No. 29)
Symmetry-distinct sites (fractional):
Te 0.0398 0.1734 0.0000 [4 per cell]  2 N 2.08-2.20
Os 0.1622 0.6701 0.9694 [4 per cell]  1 N 1.99, 2 O 2.03-2.09
N 0.0184 0.1096 0.5725 [4 per cell]  1 Os 1.99, 2 Te 2.08-2.20
O 0.1381 0.4809 0.6696 [4 per cell]  2 Os 2.03-2.09

Results
- final energy (eV per atom) = -6.563
- offset from the most stable computed form (eV/atom) = 0.293

# 4
## TeOsNO (PBE)

Data for TeOsNO after structural relaxation.

a b c (Å): 4.1042 4.1042 9.4220
angles (deg): 90.00 90.00 90.00
With the nearest neighbours (Å) after each atom.
Space group P4/nmm (No. 129, origin choice 2)
Symmetry-distinct sites (fractional):
Te 0.2500 0.7500 0.0000 [2 per cell]  4 Te 2.90, 4 N 3.06
Os 0.2500 0.2500 0.4171 [2 per cell]  1 N 1.66
N 0.2500 0.2500 0.2405 [2 per cell]  1 Os 1.66
O 0.2500 0.7500 0.5000 [2 per cell]  4 Os 2.20

Results
- final energy (eV per atom) = -6.363
- offset from the most stable computed form (eV/atom) = 0.492